*one*
Entry from Alexandria: a geometry-optimized OsPdCl3 structure (PBE-GGA). Values from VASP.

Calculated values
DOS(E_F) (states/eV/f.u.): 6.649
Crystal system: cubic
Total magnetization (μB/f.u.): 2.274
Space-group type: Pm-3m (221)

```
&SYSTEM
  ibrav = 0, nat = 5, ntyp = 3
/
ATOMIC_SPECIES
Os 190.23 Os.upf
Pd 106.42 Pd.upf
Cl 35.45 Cl.upf
CELL_PARAMETERS angstrom
4.7888 0.0000 0.0000
0.0000 4.7888 0.0000
0.0000 0.0000 4.7888
ATOMIC_POSITIONS angstrom
Os 0.0000 0.0000 0.0000
Pd 2.3944 2.3944 2.3944
Cl 0.0000 0.0000 2.3944
Cl 0.0000 2.3944 0.0000
Cl 2.3944 0.0000 0.0000
```

*two*
Entry from Alexandria: a geometry-optimized OsPdCl3 structure (PBE-GGA). Values from VASP.

Calculated values
DOS(E_F) (states/eV/f.u.): 15.304
Crystal system: cubic
Total magnetization (μB/f.u.): 5.157
Space-group type: Pm-3m (221)

```
&SYSTEM
  ibrav = 0, nat = 5, ntyp = 3
/
ATOMIC_SPECIES
Os 190.23 Os.upf
Pd 106.42 Pd.upf
Cl 35.45 Cl.upf
CELL_PARAMETERS angstrom
4.8943 0.0000 0.0000
0.0000 4.8943 0.0000
0.0000 0.0000 4.8943
ATOMIC_POSITIONS angstrom
Os 0.0000 0.0000 0.0000
Pd 2.4472 2.4472 2.4472
Cl 0.0000 2.4472 2.4472
Cl 2.4472 0.0000 2.4472
Cl 2.4472 2.4472 0.0000
```

So which one is most stable? That would be *one*, about 464 meV/atom below the next structure.

*one*
Entry from Alexandria: a geometry-optimized Os3PdCl structure (PBE-GGA). Values from VASP.

Calculated values
DOS(E_F) (states/eV/f.u.): 6.888
Crystal system: cubic
Total magnetization (μB/f.u.): 1.477
Space-group type: Pm-3m (221)

```
&SYSTEM
  ibrav = 0, nat = 5, ntyp = 3
/
ATOMIC_SPECIES
Os 190.23 Os.upf
Pd 106.42 Pd.upf
Cl 35.45 Cl.upf
CELL_PARAMETERS angstrom
4.3345 0.0000 0.0000
0.0000 4.3345 0.0000
0.0000 0.0000 4.3345
ATOMIC_POSITIONS angstrom
Os 0.0000 0.0000 2.1672
Os 0.0000 2.1672 0.0000
Os 2.1672 0.0000 0.0000
Pd 2.1672 2.1672 2.1672
Cl 0.0000 0.0000 0.0000
```

*two*
Entry from Alexandria: a geometry-optimized Os3PdCl structure (PBE-GGA). Values from VASP.

Calculated values
DOS(E_F) (states/eV/f.u.): 3.338
Crystal system: cubic
Total magnetization (μB/f.u.): 8.394
Space-group type: Pm-3m (221)

```
&SYSTEM
  ibrav = 0, nat = 5, ntyp = 3
/
ATOMIC_SPECIES
Os 190.23 Os.upf
Pd 106.42 Pd.upf
Cl 35.45 Cl.upf
CELL_PARAMETERS angstrom
4.8705 0.0000 0.0000
0.0000 4.8705 0.0000
0.0000 0.0000 4.8705
ATOMIC_POSITIONS angstrom
Os 0.0000 0.0000 2.4352
Os 0.0000 2.4352 0.0000
Os 2.4352 0.0000 0.0000
Pd 0.0000 0.0000 0.0000
Cl 2.4352 2.4352 2.4352
```

So which one is most stable? That would be *one*, about 955 meV/atom below the next structure.

*one*
Entry from Alexandria: a geometry-optimized OsPd3Cl structure (PBE-GGA). Values from VASP.

Calculated values
DOS(E_F) (states/eV/f.u.): 6.248
Crystal system: cubic
Total magnetization (μB/f.u.): 0.000
Space-group type: Pm-3m (221)

```
&SYSTEM
  ibrav = 0, nat = 5, ntyp = 3
/
ATOMIC_SPECIES
Os 190.23 Os.upf
Pd 106.42 Pd.upf
Cl 35.45 Cl.upf
CELL_PARAMETERS angstrom
4.8482 0.0000 0.0000
0.0000 4.8482 0.0000
0.0000 0.0000 4.8482
ATOMIC_POSITIONS angstrom
Os 0.0000 0.0000 0.0000
Pd 0.0000 0.0000 2.4241
Pd 0.0000 2.4241 0.0000
Pd 2.4241 0.0000 0.0000
Cl 2.4241 2.4241 2.4241
```

*two*
Entry from Alexandria: a geometry-optimized OsPd3Cl structure (PBE-GGA). Values from VASP.

Calculated values
DOS(E_F) (states/eV/f.u.): 4.001
Crystal system: cubic
Total magnetization (μB/f.u.): 2.890
Space-group type: Pm-3m (221)

```
&SYSTEM
  ibrav = 0, nat = 5, ntyp = 3
/
ATOMIC_SPECIES
Os 190.23 Os.upf
Pd 106.42 Pd.upf
Cl 35.45 Cl.upf
CELL_PARAMETERS angstrom
4.4720 0.0000 0.0000
0.0000 4.4720 0.0000
0.0000 0.0000 4.4720
ATOMIC_POSITIONS angstrom
Os 0.0000 0.0000 0.0000
Pd 0.0000 2.2360 2.2360
Pd 2.2360 0.0000 2.2360
Pd 2.2360 2.2360 0.0000
Cl 2.2360 2.2360 2.2360
```

So which one is most stable? That would be *one*, about 52 meV/atom below the next structure.

*one*
Entry from Alexandria: a geometry-optimized OsPdS2Cl structure (PBE-GGA). Values from VASP.

Calculated values
DOS(E_F) (states/eV/f.u.): 5.900
Crystal system: tetragonal
Total magnetization (μB/f.u.): 0.000
Space-group type: P4/mmm (123)

```
&SYSTEM
  ibrav = 0, nat = 5, ntyp = 4
/
ATOMIC_SPECIES
Os 190.23 Os.upf
Pd 106.42 Pd.upf
S 32.06 S.upf
Cl 35.45 Cl.upf
CELL_PARAMETERS angstrom
4.5106 0.0000 0.0000
0.0000 4.5106 0.0000
0.0000 0.0000 5.0513
ATOMIC_POSITIONS angstrom
Os 0.0000 0.0000 0.0000
Pd 2.2553 2.2553 2.5257
S 0.0000 2.2553 0.0000
S 2.2553 0.0000 0.0000
Cl 0.0000 0.0000 2.5257
```

*two*
Entry from Alexandria: a geometry-optimized OsPdS2Cl structure (PBE-GGA). Values from VASP.

Calculated values
DOS(E_F) (states/eV/f.u.): 4.603
Crystal system: tetragonal
Total magnetization (μB/f.u.): 4.262
Space-group type: P4/mmm (123)

```
&SYSTEM
  ibrav = 0, nat = 5, ntyp = 4
/
ATOMIC_SPECIES
Os 190.23 Os.upf
Pd 106.42 Pd.upf
S 32.06 S.upf
Cl 35.45 Cl.upf
CELL_PARAMETERS angstrom
4.7093 0.0000 0.0000
0.0000 4.7093 0.0000
0.0000 0.0000 4.6781
ATOMIC_POSITIONS angstrom
Os 0.0000 0.0000 0.0000
Pd 2.3546 2.3546 2.3391
S 0.0000 2.3546 2.3391
S 2.3546 0.0000 2.3391
Cl 2.3546 2.3546 0.0000
```

So which one is most stable? That would be *one*, about 709 meV/atom below the next structure.